The following is a GGA-PBE calculation of HfB2I after structural relaxation, from Alexandria.

Lattice parameters (Å, degrees): 4.4521 4.4521 4.4521 60.00 60.00 60.00
Fractional coordinates of all 4 atoms:
1 I 0.0000 0.0000 0.0000
2 B 0.2500 0.2500 0.2500
3 B 0.7500 0.7500 0.7500
4 Hf 0.5000 0.5000 0.5000

Values from the calculation:
Distance to the lowest polymorph of the same formula = 37.7 kJ/mol of atoms
Formation energy (no corrections) = 1604 meV/atom
Spin magnetization = 0.000 μB/f.u.
Symmetry = Fm-3m